The following is a DFT calculation (GGA-PBE) of a geometry-optimized ScHg2Pd structure.

Cell lengths 7.5065, 7.5065, 7.5065 Å; angles 40.85, 151.43, 151.43 degrees
With the nearest neighbours (Å) after each atom.
Fractional coordinates of all 4 atoms:
1 Sc 0.0000 0.0000 0.0000  4 Pd 2.62
2 Hg 0.0000 0.3084 0.3084  1 Pd 2.70
3 Hg 0.0000 0.6916 0.6916  1 Pd 2.70
4 Pd 0.0000 0.5000 0.5000  4 Sc 2.62, 2 Hg 2.70

DFT formation energy: -182 meV per atom
DOS at the Fermi energy: 1.913 states/eV per cell